Here is a geometry-optimized Na2AsI6 structure from the Alexandria database. Energies are from PBE-GGA.

* N(E_F): 30.11 states/eV per cell
* magnetic moment: 0.00 μB per cell
* final energy: -2.3516 eV/atom
* crystal system: tetragonal

Structure (CIF):
```
data_Na2AsI6
_chemical_formula_sum 'Na4 As2 I12'
_cell_length_a 7.350
_cell_length_b 7.350
_cell_length_c 13.776
_cell_angle_alpha 90.00
_cell_angle_beta 90.00
_cell_angle_gamma 90.00
_space_group_name_H-M_alt 'P 42/m n m'
_space_group_IT_number 136
_space_group_name_Hall '-P 4n 2n'
loop_
_atom_site_label
_atom_site_type_symbol
_atom_site_fract_x
_atom_site_fract_y
_atom_site_fract_z
_atom_site_occupancy
Na1 Na 0.000 0.000 0.168 1
As1 As 0.000 0.000 0.500 1
I1 I 0.191 0.191 0.349 1
I2 I 0.223 0.223 0.000 1
```